Density functional theory data (meta-GGA SCAN) for a crystal of CeLuS3 relaxed with PBEsol.

abc: 6.455 6.455 9.306
angles: 90.00 90.00 145.80
Positions (direct):
1 Ce 0.249 0.751 0.750
2 Ce 0.751 0.249 0.250
3 Lu 0.500 0.500 0.000
4 Lu 0.500 0.500 0.500
5 S 0.143 0.857 0.065
6 S 0.143 0.857 0.435
7 S 0.412 0.588 0.250
8 S 0.588 0.412 0.750
9 S 0.857 0.143 0.565
10 S 0.857 0.143 0.935

Calculated values
ΔE_f (raw) (kcal/mol of atoms): -54.30
Calculated volume (Å³ per cell): 218
Total energy (eV per atom): -28.113
Total magnetic moment (μB/f.u.): 0.949